Material: Cr2RhPb
Method: DFT, PBE
State: optimized geometry

Summary:
Calculated volume ... 72.88 Å³ per cell
Space-group type ... R-3m, No. 166
Size of the total moment ... 1.76 μB/atom
ΔH_f (0 K) ... 0.621 eV/atom
Fermi-level density of states ... 6.4 states/eV/f.u.

extended XYZ file:
```
4
Lattice="1.5447 0.8918 8.8173 -1.5447 0.8918 8.8173 0.0000 -1.7836 8.8173" Properties=species:S:1:pos:R:3 pbc="T T T"
Cr 0.0000 0.0000 6.3191
Cr 0.0000 0.0000 20.1329
Rh 0.0000 0.0000 13.2260
Pb 0.0000 0.0000 0.0000
```

Material: YGa2BO6
Method: DFT, PBE
State: optimized geometry

Summary:
Calculated volume ... 236.96 Å³ per cell
Space-group type ... C2/c, No. 15
Size of the total moment ... 0.00 μB/atom
Formation energy without anion corrections ... -24.12 eV per formula unit
Fermi-level density of states ... 0.0 states/eV/f.u.

extended XYZ file:
```
20
Lattice="5.2456 -4.2941 0.0000 5.2456 4.2941 0.0000 -2.7916 0.0000 5.2600" Properties=species:S:1:pos:R:3 pbc="T T T"
Y 3.1519 2.7979 3.9450
Y 4.5477 -2.7979 1.3150
Ga 0.7680 0.5808 4.5037
Ga 2.1638 -0.5808 1.8737
Ga 5.5358 0.5808 3.3863
Ga 6.9316 -0.5808 0.7563
B 4.5477 2.7617 1.3150
B 3.1519 -2.7617 3.9450
O -0.9016 0.6531 3.6530
O 0.4942 -0.6531 1.0230
O 4.3217 2.0281 0.0813
O 1.9161 0.8361 3.0270
O 4.7737 2.0281 2.5487
O 3.3119 -0.8361 0.3970
O 4.3877 0.8361 4.8630
O 2.9259 -2.0281 2.7113
O 5.7835 -0.8361 2.2330
O 3.3779 -2.0281 5.1787
O 7.2054 0.6531 4.2369
O 8.6012 -0.6531 1.6069
```

Material: BaSr5Tl6
Method: DFT, PBE
State: optimized geometry

Summary:
Calculated volume ... 424.41 Å³ per cell
Space-group type ... Cmmm, No. 65
Size of the total moment ... 0.00 μB/atom
ΔH_f (0 K) ... -0.422 eV/atom
Fermi-level density of states ... 9.1 states/eV/f.u.

extended XYZ file:
```
12
Lattice="2.9203 -8.8123 0.0000 2.9203 8.8123 0.0000 0.0000 0.0000 8.2459" Properties=species:S:1:pos:R:3 pbc="T T T"
Ba 0.0000 0.0000 0.0000
Sr 0.0000 0.0000 4.1230
Sr 2.9203 2.9525 0.0000
Sr 2.9203 2.9054 4.1230
Sr 2.9203 -2.9054 4.1230
Sr 2.9203 -2.9525 0.0000
Tl 2.9203 5.8192 2.1444
Tl 2.9203 5.8192 6.1015
Tl 2.9203 0.0000 2.1704
Tl 2.9203 0.0000 6.0755
Tl 2.9203 -5.8192 2.1444
Tl 2.9203 -5.8192 6.1015
```

Material: PuAlTe2
Method: DFT, PBE
State: optimized geometry

Summary:
Calculated volume ... 111.95 Å³ per cell
Space-group type ... R-3m, No. 166
Size of the total moment ... 1.54 μB/atom
Formation energy without anion corrections ... 1.03 eV per formula unit
Fermi-level density of states ... 7.7 states/eV/f.u.

extended XYZ file:
```
4
Lattice="1.6519 0.9537 11.8426 -1.6519 0.9537 11.8426 0.0000 -1.9075 11.8426" Properties=species:S:1:pos:R:3 pbc="T T T"
Pu 0.0000 0.0000 0.0000
Al 0.0000 0.0000 17.7639
Te 0.0000 0.0000 3.1037
Te 0.0000 0.0000 32.4240
```

Material: Ni3AgHg
Method: DFT, PBE
State: optimized geometry

Summary:
Calculated volume ... 100.55 Å³ per cell
Space-group type ... Pm-3m, No. 221
Energy above the most stable polymorph in this dataset ... 0.0 kJ/mol of formula units
Size of the total moment ... 0.21 μB/atom
ΔH_f (0 K) ... 1.274 eV/atom
Fermi-level density of states ... 5.2 states/eV/f.u.

extended XYZ file:
```
5
Lattice="4.6501 0.0000 0.0000 0.0000 4.6501 0.0000 0.0000 0.0000 4.6501" Properties=species:S:1:pos:R:3 pbc="T T T"
Ni 0.0000 0.0000 2.3251
Ni 0.0000 2.3251 0.0000
Ni 2.3251 0.0000 0.0000
Ag 0.0000 0.0000 0.0000
Hg 2.3251 2.3251 2.3251
```

Material: Dy2BeSiNi6
Method: DFT, PBE
State: optimized geometry

Summary:
Calculated volume ... 147.44 Å³ per cell
Space-group type ... Fm-3m, No. 225
Size of the total moment ... 0.00 μB/atom
Formation energy without anion corrections ... -2.78 eV per formula unit
Fermi-level density of states ... 8.2 states/eV/f.u.

extended XYZ file:
```
10
Lattice="0.0000 4.1931 4.1931 4.1931 0.0000 4.1931 4.1931 4.1931 0.0000" Properties=species:S:1:pos:R:3 pbc="T T T"
Dy 2.0965 2.0965 2.0965
Dy 6.2896 6.2896 6.2896
Be 0.0000 0.0000 0.0000
Si 4.1931 4.1931 4.1931
Ni 4.1931 4.1931 2.0086
Ni 4.1931 2.0086 4.1931
Ni 6.3776 4.1931 4.1931
Ni 2.0086 4.1931 4.1931
Ni 4.1931 6.3776 4.1931
Ni 4.1931 4.1931 6.3776
```

Material: SnBiP2W
Method: DFT, PBE
State: optimized geometry

Summary:
Calculated volume ... 126.80 Å³ per cell
Space-group type ... P4/mmm, No. 123
Size of the total moment ... 0.00 μB/atom
ΔH_f (0 K) ... 0.457 eV/atom
Fermi-level density of states ... 3.5 states/eV/f.u.

extended XYZ file:
```
5
Lattice="4.6375 0.0000 0.0000 0.0000 4.6375 0.0000 0.0000 0.0000 5.8962" Properties=species:S:1:pos:R:3 pbc="T T T"
Sn 0.0000 0.0000 0.0000
Bi 2.3187 2.3187 0.0000
P 0.0000 2.3187 2.9481
P 2.3187 0.0000 2.9481
W 2.3187 2.3187 2.9481
```

Material: HgSeI2
Method: DFT, PBE
State: optimized geometry

Summary:
Calculated volume ... 412.60 Å³ per cell
Space-group type ... P1, No. 1
Energy above the most stable polymorph in this dataset ... 8.6 kJ/mol of formula units
Size of the total moment ... 0.00 μB/atom
Formation energy without anion corrections ... -0.56 eV per formula unit

extended XYZ file:
```
8
Lattice="5.9413 0.0000 0.0000 -0.7120 7.2297 0.0000 -0.5913 -1.7301 9.6056" Properties=species:S:1:pos:R:3 pbc="T T T"
Hg 0.0000 0.0000 0.0000
Hg 0.3454 1.5121 7.1971
Se 2.3580 1.0454 0.4590
Se 2.9008 6.2730 0.3523
I -0.3666 -1.0590 6.5055
I -0.2535 3.9062 0.0386
I 2.2160 1.8256 3.0234
I 2.1369 3.1166 5.9043
```